Record 1
The following is a PBE-GGA calculation of an optimized crystal structure of LiPtCl4, from Alexandria.

abc: 6.9983 6.9983 5.9885
angles: 125.75 125.75 90.00
Sites, in units of the cell vectors:
Cl  0.6789  0.2330  0.0317
Cl  0.3528  0.7987  0.0317
Pt  0.5000  0.5000  0.0000
Cl  0.2013  0.3211  0.9683
Cl  0.7670  0.6472  0.9683
Li  0.7500  0.2500  0.5000

Properties
The value obtained for the formation energy from raw total energies is -440 kJ/mol of formula units. As for the calculated total energy: -19.90 eV per formula unit.


Record 2
The following is a PBE-GGA calculation of an optimized crystal structure of BaTiSn2Ru, from Alexandria.

abc: 5.9095 5.1621 5.9095
angles: 90.00 90.00 90.00
Sites, in units of the cell vectors:
Sn  0.5000  0.0000  0.0000
Ba  0.0000  0.0000  0.0000
Ru  0.5000  0.5000  0.5000
Ti  0.0000  0.5000  0.0000
Sn  0.0000  0.0000  0.5000

Properties
As for the calculated formation energy: 2.208 eV/atom. As for the calculated total energy: -16.06 eV per formula unit.


Record 3
The following is a PBE-GGA calculation of an optimized crystal structure of KRbNaTl, from Alexandria.

abc: 6.3260 6.3260 6.3260
angles: 60.00 60.00 60.00
Sites, in units of the cell vectors:
Rb  0.5000  0.5000  0.5000
Na  0.2500  0.2500  0.2500
Tl  0.0000  0.0000  0.0000
K  0.7500  0.7500  0.7500

Properties
The energy relative to the lowest polymorph listed for this composition comes out at 15 meV per atom. As for the calculated formation energy: 0.025 eV/atom. As for the calculated total energy: -5.65 eV per formula unit.


Record 4
The following is a PBE-GGA calculation of an optimized crystal structure of ZrScSn2, from Alexandria.

abc: 3.3358 3.3358 9.8701
angles: 80.27 80.27 60.00
Sites, in units of the cell vectors:
Sc  0.0000  0.0000  0.0000
Sn  0.7501  0.7501  0.7498
Zr  0.5000  0.5000  0.5000
Sn  0.2499  0.2499  0.2502

Properties
The energy relative to the lowest polymorph listed for this composition comes out at 165 meV per atom. As for the calculated formation energy: -0.369 eV/atom. As for the calculated total energy: -24.36 eV per formula unit.